FeReSiNi (PBE, relaxed); symmetry = F-43m (216); DFT total energy = -7.89 eV/atom; relative energy among the computed polymorphs = 43.4 kJ/mol of formula units
1.0
0.000 2.883 2.883
2.883 0.000 2.883
2.883 2.883 0.000
Ni Si Re Fe
1 1 1 1
Direct
0.250 0.250 0.250
0.000 0.000 0.000
0.500 0.500 0.500
0.750 0.750 0.750